First-principles (GGA-PBE) data for an optimized crystal structure of ScCrHgCl2, as listed in Alexandria via LeMat-Bulk.

a b c (Å): 4.8905 4.8905 6.1111
angles (deg): 90.00 90.00 90.00
Space group P4/mmm (No. 123)
Symmetry-distinct sites (fractional):
Sc 0.0000 0.0000 0.0000 [1 per cell]
Cr 0.0000 0.0000 0.5000 [1 per cell]
Hg 0.5000 0.5000 0.5000 [1 per cell]
Cl 0.0000 0.5000 0.0000 [2 per cell]

Properties
Uncorrected formation energy: -0.43 eV per atom
DFT total energy: -4.4243 eV per atom